Record 1
Material: LaYEr2
Method: DFT, PBE-GGA
State: optimized geometry

Summary:
As for the total magnetization: 0.0 Bohr magnetons per cell. The calculation puts the raw total energy at -5.096 eV/atom. For the calculated volume, the calculation gives 32.69 Å³/atom. The formation enthalpy at 0 K is 0.033 eV/atom. As for the space-group type: Pnma.

Cell: 7.185 6.263 11.623 Å, 90.00 90.00 90.00°
Fractional positions:
Er 0.623 0.251 0.311
Er 0.377 0.749 0.315
Er 0.123 0.249 0.811
Er 0.877 0.751 0.815
Er 0.123 0.249 0.315
Er 0.877 0.751 0.311
Er 0.623 0.251 0.815
Er 0.377 0.749 0.811
Y 0.628 0.583 0.063
Y 0.372 0.417 0.563
Y 0.872 0.083 0.063
Y 0.128 0.917 0.563
La 0.372 0.083 0.063
La 0.872 0.417 0.563
La 0.628 0.917 0.563
La 0.128 0.583 0.063

Record 2
Material: La2YEr
Method: DFT, PBE-GGA
State: optimized geometry

Summary:
As for the total magnetization: 0.0 Bohr magnetons per cell. The calculation puts the raw total energy at -5.199 eV/atom. For the calculated volume, the calculation gives 34.13 Å³/atom. The formation enthalpy at 0 K is 0.021 eV/atom. As for the space-group type: P4/mmm.

Cell: 4.982 5.235 5.235 Å, 90.00 90.00 90.00°
Fractional positions:
Y 0.500 0.500 0.500
La 0.000 0.000 0.500
La 0.000 0.500 0.000
Er 0.500 0.000 0.000

Record 3
Material: LaY8Er4
Method: DFT, PBE-GGA
State: optimized geometry

Summary:
As for the total magnetization: 0.0 Bohr magnetons per cell. The calculation puts the raw total energy at -5.568 eV/atom. For the calculated volume, the calculation gives 32.14 Å³/atom. The formation enthalpy at 0 K is 0.193 eV/atom. As for the space-group type: R-3m.

Cell: 7.300 7.300 9.986 Å, 90.00 111.44 120.00°
Fractional positions:
Y 0.052 0.801 0.303
Y 0.502 0.251 0.303
Y 0.498 0.749 0.697
Y 0.948 0.199 0.697
Y 0.948 0.749 0.697
Y 0.562 0.781 0.342
Y 0.052 0.251 0.303
Y 0.438 0.219 0.658
La 0.000 0.500 0.500
Er 0.500 0.500 0.000
Er 0.000 0.500 0.000
Er 0.000 0.000 0.000
Er 0.500 0.000 0.000

Record 4
Material: LaY2Er4
Method: DFT, PBE-GGA
State: optimized geometry

Summary:
As for the total magnetization: 0.0 Bohr magnetons per cell. The calculation puts the raw total energy at -5.128 eV/atom. For the calculated volume, the calculation gives 31.95 Å³/atom. The formation enthalpy at 0 K is 0.030 eV/atom. As for the space-group type: P1.

Cell: 7.121 7.969 8.723 Å, 111.42 90.01 102.91°
Fractional positions:
Y 0.553 0.841 0.179
Y 0.767 0.694 0.463
Y 0.127 0.131 0.608
Y 0.696 0.412 0.035
Er 0.910 0.267 0.321
Er 0.055 0.840 0.178
Er 0.340 0.983 0.894
Er 0.982 0.550 0.751
Er 0.197 0.412 0.037
Er 0.410 0.265 0.319
Er 0.626 0.130 0.607
Er 0.481 0.551 0.751
La 0.839 0.981 0.895
La 0.267 0.694 0.463

Record 5
Material: La2Y3Er9
Method: DFT, PBE-GGA
State: optimized geometry

Summary:
As for the total magnetization: 0.0 Bohr magnetons per cell. The calculation puts the raw total energy at -4.847 eV/atom. For the calculated volume, the calculation gives 32.94 Å³/atom. The formation enthalpy at 0 K is 0.176 eV/atom. As for the space-group type: P-1.

Cell: 5.379 10.592 15.009 Å, 45.24 55.33 51.34°
Fractional positions:
Er 0.285 0.494 0.135
Er 0.420 0.993 0.698
Er 0.165 0.251 0.067
Er 0.000 0.500 0.500
Er 0.038 0.773 0.512
Er 0.835 0.749 0.933
Er 0.962 0.227 0.488
Er 0.580 0.007 0.302
Er 0.715 0.506 0.865
Y 0.695 0.258 0.336
Y 0.305 0.741 0.664
Y 0.000 0.000 0.000
La 0.493 0.261 0.759
La 0.507 0.739 0.241

Record 6
Material: LaY6Er3
Method: DFT, PBE-GGA
State: optimized geometry

Summary:
As for the total magnetization: 0.0 Bohr magnetons per cell. The calculation puts the raw total energy at -5.484 eV/atom. For the calculated volume, the calculation gives 32.97 Å³/atom. The formation enthalpy at 0 K is 0.256 eV/atom. As for the space-group type: R3.

Cell: 9.854 9.854 6.909 Å, 44.51 44.51 60.00°
Fractional positions:
Y 0.905 0.566 0.292
Y 0.732 0.072 0.790
Y 0.237 0.905 0.292
Y 0.406 0.732 0.790
Y 0.072 0.406 0.790
Y 0.566 0.237 0.292
Er 0.396 0.396 0.813
Er 0.640 0.640 0.081
Er 0.147 0.147 0.560
La 0.900 0.900 0.301

Record 7
Material: La2Y7Er
Method: DFT, PBE-GGA
State: optimized geometry

Summary:
As for the total magnetization: 0.0 Bohr magnetons per cell. The calculation puts the raw total energy at -5.806 eV/atom. For the calculated volume, the calculation gives 33.92 Å³/atom. The formation enthalpy at 0 K is 0.161 eV/atom. As for the space-group type: Cmmm.

Cell: 3.528 14.936 14.936 Å, 154.47 90.00 90.00°
Fractional positions:
Y 0.500 0.147 0.341
Y 0.000 0.185 0.815
Y 0.500 0.500 0.500
Y 0.500 0.853 0.659
Y 0.500 0.659 0.853
Y 0.000 0.815 0.185
Y 0.500 0.341 0.147
La 0.500 0.706 0.294
La 0.500 0.294 0.706
Er 0.000 0.000 0.000

Record 8
Material: La2YEr3
Method: DFT, PBE-GGA
State: optimized geometry

Summary:
As for the total magnetization: 0.0 Bohr magnetons per cell. The calculation puts the raw total energy at -4.877 eV/atom. For the calculated volume, the calculation gives 33.30 Å³/atom. The formation enthalpy at 0 K is 0.124 eV/atom. As for the space-group type: C2/m.

Cell: 3.495 9.100 13.157 Å, 77.87 82.37 78.93°
Fractional positions:
La 0.815 0.491 0.879
La 0.185 0.509 0.121
La 0.654 0.161 0.531
La 0.346 0.839 0.469
Y 0.438 0.481 0.643
Y 0.562 0.519 0.357
Er 0.264 0.179 0.293
Er 0.039 0.127 0.795
Er 0.736 0.821 0.707
Er 0.961 0.873 0.205
Er 0.598 0.830 0.973
Er 0.402 0.170 0.027

Record 9
Material: La7Y6Er16
Method: DFT, PBE-GGA
State: optimized geometry

Summary:
As for the total magnetization: 0.0 Bohr magnetons per cell. The calculation puts the raw total energy at -4.779 eV/atom. For the calculated volume, the calculation gives 34.87 Å³/atom. The formation enthalpy at 0 K is 0.265 eV/atom. As for the space-group type: Fm-3m.

Cell: 11.266 11.266 11.266 Å, 60.00 60.00 60.00°
Fractional positions:
Er 0.871 0.386 0.871
Er 0.614 0.129 0.129
Er 0.129 0.129 0.129
Er 0.653 0.653 0.653
Er 0.129 0.614 0.129
Er 0.653 0.653 0.041
Er 0.959 0.347 0.347
Er 0.871 0.871 0.871
Er 0.871 0.871 0.386
Er 0.041 0.653 0.653
Er 0.386 0.871 0.871
Er 0.653 0.041 0.653
Er 0.129 0.129 0.614
Er 0.347 0.347 0.959
Er 0.347 0.959 0.347
Er 0.347 0.347 0.347
La 0.500 0.000 0.000
La 0.500 0.500 0.000
La 0.000 0.000 0.000
La 0.000 0.000 0.500
La 0.000 0.500 0.000
La 0.000 0.500 0.500
La 0.500 0.000 0.500
Y 0.259 0.259 0.741
Y 0.259 0.741 0.259
Y 0.259 0.741 0.741
Y 0.741 0.259 0.259
Y 0.741 0.741 0.259
Y 0.741 0.259 0.741

Record 10
Material: La6YEr3
Method: DFT, PBE-GGA
State: optimized geometry

Summary:
As for the total magnetization: 0.0 Bohr magnetons per cell. The calculation puts the raw total energy at -4.730 eV/atom. For the calculated volume, the calculation gives 35.90 Å³/atom. The formation enthalpy at 0 K is 0.241 eV/atom. As for the space-group type: R-3.

Cell: 9.078 9.078 9.078 Å, 80.09 80.09 80.09°
Fractional positions:
La 0.538 0.538 0.833
La 0.906 0.288 0.288
La 0.833 0.538 0.538
La 0.538 0.833 0.538
La 0.712 0.094 0.712
La 0.094 0.712 0.712
La 0.288 0.906 0.288
La 0.167 0.462 0.462
La 0.462 0.462 0.167
La 0.462 0.167 0.462
La 0.712 0.712 0.094
La 0.288 0.288 0.906
Er 0.107 0.635 0.106
Er 0.365 0.894 0.893
Er 0.893 0.365 0.894
Er 0.635 0.106 0.107
Er 0.894 0.893 0.365
Er 0.106 0.107 0.635
Y 0.000 0.000 0.000
Y 0.500 0.500 0.500

Record 11
Material: LaY2Er7
Method: DFT, PBE-GGA
State: optimized geometry

Summary:
As for the total magnetization: 0.0 Bohr magnetons per cell. The calculation puts the raw total energy at -4.266 eV/atom. For the calculated volume, the calculation gives 39.27 Å³/atom. The formation enthalpy at 0 K is 0.713 eV/atom. As for the space-group type: Cmmm.

Cell: 5.551 9.271 9.271 Å, 124.61 90.00 90.00°
Fractional positions:
Y 0.500 0.296 0.704
Y 0.500 0.704 0.296
Er 0.500 0.937 0.711
Er 0.500 0.500 0.500
Er 0.500 0.063 0.289
Er 0.000 0.789 0.211
Er 0.000 0.211 0.789
Er 0.500 0.711 0.937
Er 0.500 0.289 0.063
La 0.000 0.000 0.000

Record 12
Material: LaY4Er4
Method: DFT, PBE-GGA
State: optimized geometry

Summary:
As for the total magnetization: 0.0 Bohr magnetons per cell. The calculation puts the raw total energy at -5.418 eV/atom. For the calculated volume, the calculation gives 32.06 Å³/atom. The formation enthalpy at 0 K is 0.030 eV/atom. As for the space-group type: I4/mmm.

Cell: 5.043 7.973 7.973 Å, 84.26 71.56 71.56°
Fractional positions:
Er 0.000 0.337 0.663
Er 0.000 0.663 0.337
Er 0.337 0.663 0.663
Er 0.663 0.337 0.337
Y 0.331 0.000 0.337
Y 0.331 0.337 0.000
Y 0.669 0.663 0.000
Y 0.669 0.000 0.663
La 0.000 0.000 0.000

Look up the raw total energy of the fourth one.
-5.128 eV/atom

What is the formation enthalpy at 0 K in the twelfth record?
0.030 eV/atom